DFT (PBE) results for ZnCu2Pb after structural relaxation.

abc: 6.4535 6.4535 6.4535
angles: 90.00 90.00 90.00
With the nearest neighbours (Å) after each atom.
Fractional coordinates of all 16 atoms:
Zn 0.5000 0.0000 0.0000  8 Cu 2.69
Cu 0.7828 0.7828 0.7828  4 Zn 2.43-2.69
Cu 0.2172 0.2172 0.7828  4 Zn 2.43-2.69
Pb 0.5000 0.5000 0.5000  8 Cu 3.16, 6 Pb 3.23
Zn 0.0000 0.5000 0.0000  8 Cu 2.69
Pb 0.5000 0.0000 0.5000  8 Cu 2.94, 2 Pb 3.23, 4 Zn 3.23
Zn 0.0000 0.0000 0.5000  8 Cu 2.69
Cu 0.2172 0.2172 0.2172  4 Zn 2.43-2.69
Cu 0.2172 0.7828 0.7828  4 Zn 2.43-2.69
Cu 0.7828 0.2172 0.7828  4 Zn 2.43-2.69
Cu 0.7828 0.7828 0.2172  4 Zn 2.43-2.69
Pb 0.5000 0.5000 0.0000  8 Cu 2.94, 2 Pb 3.23, 4 Zn 3.23
Cu 0.2172 0.7828 0.2172  4 Zn 2.43-2.69
Zn 0.0000 0.0000 0.0000  8 Cu 2.43
Cu 0.7828 0.2172 0.2172  4 Zn 2.43-2.69
Pb 0.0000 0.5000 0.5000  8 Cu 2.94, 2 Pb 3.23, 4 Zn 3.23

Values from the calculation:
* E above lowest polymorph: 0 meV per atom

DFT (PBE) results for ZrZnCuPb after structural relaxation.

abc: 4.7727 4.7727 4.7727
angles: 60.00 60.00 60.00
With the nearest neighbours (Å) after each atom.
Fractional coordinates of all 4 atoms:
Cu 0.7500 0.7500 0.7500  4 Pb 2.92, 4 Zr 2.92
Pb 0.0000 0.0000 0.0000  4 Zn 2.92, 4 Cu 2.92
Zn 0.2500 0.2500 0.2500  4 Zr 2.92, 4 Pb 2.92
Zr 0.5000 0.5000 0.5000  4 Zn 2.92, 4 Cu 2.92

Values from the calculation:
* E above lowest polymorph: 0 meV per atom

DFT (PBE) results for ZrZnCuPb after structural relaxation.

abc: 4.8017 4.8017 4.8017
angles: 60.00 60.00 60.00
With the nearest neighbours (Å) after each atom.
Fractional coordinates of all 4 atoms:
Pb 0.0000 0.0000 0.0000  4 Cu 2.94, 4 Zr 2.94
Zn 0.5000 0.5000 0.5000  4 Cu 2.94, 4 Zr 2.94
Zr 0.2500 0.2500 0.2500  4 Zn 2.94, 4 Pb 2.94
Cu 0.7500 0.7500 0.7500  4 Zn 2.94, 4 Pb 2.94

Values from the calculation:
* E above lowest polymorph: 43 meV per atom

DFT (PBE) results for Zr3Cu4Pb4 after structural relaxation.

abc: 6.6029 4.4709 7.8881
angles: 90.00 91.34 90.00
With the nearest neighbours (Å) after each atom.
Fractional coordinates of all 11 atoms:
Pb 0.2116 0.2500 0.0519  4 Cu 2.65-2.95
Cu 0.2760 0.2500 0.4023  3 Pb 2.75-2.79, 3 Zr 2.89-2.97
Pb 0.2066 0.7500 0.5960  3 Cu 2.69-2.75
Cu 0.7315 0.7500 0.5830  3 Pb 2.61-2.62
Zr 0.4931 0.7500 0.2612  6 Cu 2.85-2.96, 2 Pb 3.14
Cu 0.6577 0.2500 0.0795  4 Pb 2.74-2.95, 3 Zr 2.88-2.91
Pb 0.7843 0.7500 0.9123  4 Cu 2.61-2.86
Pb 0.7747 0.2500 0.4156  3 Cu 2.62-2.74
Cu 0.3520 0.7500 0.9173  4 Pb 2.65-2.86, 3 Zr 2.85-2.88
Zr 0.5058 0.2500 0.7297  6 Cu 2.88-2.97, 5 Pb 3.08-3.21
Zr 0.0046 0.7500 0.2485  6 Pb 2.99-3.06, 3 Cu 3.09-3.23, 1 Zr 3.22

Values from the calculation:
* E above lowest polymorph: 7 meV per atom

DFT (PBE) results for Zr3Cu4Pb4 after structural relaxation.

abc: 6.2690 6.2690 7.7126
angles: 66.02 66.02 90.00
With the nearest neighbours (Å) after each atom.
Fractional coordinates of all 11 atoms:
Zr 0.2500 0.7500 0.5000  4 Cu 2.72
Pb 0.5000 0.0000 0.0000  4 Cu 2.72
Cu 0.3742 0.3742 0.7507  4 Pb 2.70-2.75, 3 Zr 2.72
Pb 0.2469 0.2469 0.5063  4 Cu 2.70-2.75
Zr 0.5000 0.5000 0.0000  4 Cu 2.72
Pb 0.0000 0.5000 0.0000  4 Cu 2.72
Pb 0.7531 0.7531 0.4937  4 Cu 2.70-2.75
Cu 0.1250 0.6258 0.2493  4 Pb 2.70-2.75, 3 Zr 2.72
Cu 0.6258 0.1250 0.2493  4 Pb 2.70-2.75, 3 Zr 2.72
Cu 0.8750 0.8750 0.7507  4 Pb 2.70-2.75, 3 Zr 2.72
Zr 0.7500 0.2500 0.5000  4 Cu 2.72

Values from the calculation:
* E above lowest polymorph: 0 meV per atom

DFT (PBE) results for ZrCuPb2 after structural relaxation.

abc: 5.1201 5.1201 5.1201
angles: 60.00 60.00 60.00
With the nearest neighbours (Å) after each atom.
Fractional coordinates of all 4 atoms:
Pb 0.7500 0.7500 0.7500  4 Pb 3.14, 4 Zr 3.14
Cu 0.2500 0.2500 0.2500  4 Zr 3.14, 4 Pb 3.14
Pb 0.0000 0.0000 0.0000  4 Pb 3.14, 4 Cu 3.14
Zr 0.5000 0.5000 0.5000  4 Cu 3.14, 4 Pb 3.14

Values from the calculation:
* E above lowest polymorph: 397 meV per atom

DFT (PBE) results for ZrCuPb2 after structural relaxation.

abc: 4.3751 4.3751 9.2456
angles: 90.00 90.00 90.00
With the nearest neighbours (Å) after each atom.
Fractional coordinates of all 8 atoms:
Cu 0.5000 0.5000 0.5000  4 Pb 2.75, 4 Zr 3.06
Pb 0.5000 0.0000 0.6797  4 Cu 2.75
Pb 0.0000 0.5000 0.3203  4 Cu 2.75
Zr 0.5000 0.0000 0.2686  4 Cu 3.06, 8 Pb 3.13-3.31
Pb 0.5000 0.5000 0.0000  4 Pb 3.09, 4 Zr 3.31
Cu 0.0000 0.0000 0.5000  4 Pb 2.75, 4 Zr 3.06
Pb 0.0000 0.0000 0.0000  4 Pb 3.09, 4 Zr 3.31
Zr 0.0000 0.5000 0.7314  4 Cu 3.06, 8 Pb 3.13-3.31

Values from the calculation:
* E above lowest polymorph: 0 meV per atom

DFT (PBE) results for CuPd after structural relaxation.

abc: 19.8241 19.8241 19.8241
angles: 169.74 168.65 15.32
With the nearest neighbours (Å) after each atom.
Fractional coordinates of all 20 atoms:
Pd 0.3750 0.6250 0.7500  8 Cu 2.64-2.65, 4 Pd 2.77-2.78
Pd 0.0749 0.3249 0.7500  8 Cu 2.64-2.67, 4 Pd 2.75-2.78
Cu 0.2250 0.9750 0.2500  8 Pd 2.64-2.65, 4 Cu 2.77-2.78
Cu 0.8750 0.1250 0.7500  8 Pd 2.64-2.65, 4 Cu 2.77-2.78
Pd 0.6250 0.3750 0.2500  8 Cu 2.64-2.65, 4 Pd 2.77-2.78
Cu 0.1250 0.8750 0.2500  8 Pd 2.64-2.65, 4 Cu 2.77-2.78
Pd 0.7250 0.4750 0.2500  8 Cu 2.64-2.65, 4 Pd 2.78
Pd 0.1750 0.4250 0.7500  8 Cu 2.64-2.65, 4 Pd 2.77-2.78
Pd 0.9251 0.6751 0.2500  8 Cu 2.64-2.67, 4 Pd 2.75-2.78
Cu 0.6750 0.9250 0.7500  8 Pd 2.64-2.65, 4 Cu 2.78
Pd 0.4743 0.7243 0.7500  8 Cu 2.63-2.77, 4 Pd 2.69-2.75
Pd 0.8251 0.5750 0.2500  8 Cu 2.64-2.65, 4 Pd 2.77-2.78
Pd 0.2750 0.5250 0.7500  8 Cu 2.64-2.65, 4 Pd 2.78
Cu 0.7750 0.0250 0.7500  8 Pd 2.64-2.65, 4 Cu 2.77-2.78
Cu 0.4247 0.1747 0.2500  8 Pd 2.63-2.64, 4 Cu 2.77-2.81
Cu 0.0241 0.7741 0.2500  4 Cu 2.60-2.81, 8 Pd 2.64-2.77
Cu 0.5753 0.8253 0.7500  8 Pd 2.63-2.64, 4 Cu 2.77-2.81
Cu 0.3250 0.0750 0.2500  8 Pd 2.64-2.65, 4 Cu 2.78
Cu 0.9759 0.2259 0.7500  4 Cu 2.60-2.81, 8 Pd 2.64-2.77
Pd 0.5257 0.2757 0.2500  8 Cu 2.63-2.77, 4 Pd 2.69-2.75

Values from the calculation:
* E_form: -0.115 eV/atom

DFT (PBE) results for Cu3Pd5 after structural relaxation.

abc: 5.3603 5.3603 3.9152
angles: 90.00 90.00 94.74
With the nearest neighbours (Å) after each atom.
Fractional coordinates of all 8 atoms:
Cu 0.7602 0.2398 0.0000  10 Pd 2.66-2.72, 2 Cu 2.84
Cu 0.2398 0.7602 0.0000  10 Pd 2.66-2.72, 2 Cu 2.84
Pd 0.7328 0.7328 0.0000  6 Cu 2.59-2.71, 6 Pd 2.76-2.78
Pd 0.5000 0.0000 0.5000  6 Cu 2.67-2.68, 6 Pd 2.68-2.78
Pd 0.0000 0.0000 0.5000  8 Pd 2.68-2.76, 4 Cu 2.72
Pd 0.2672 0.2672 0.0000  6 Cu 2.59-2.71, 6 Pd 2.76-2.78
Pd 0.0000 0.5000 0.5000  6 Cu 2.67-2.68, 6 Pd 2.68-2.78
Cu 0.5000 0.5000 0.5000  8 Pd 2.59-2.68, 4 Cu 2.84

Values from the calculation:
* E_form: -0.082 eV/atom

DFT (PBE) results for Cu7Pd3 after structural relaxation.

abc: 6.9935 6.9935 5.2627
angles: 102.82 102.82 31.48
With the nearest neighbours (Å) after each atom.
Fractional coordinates of all 10 atoms:
Cu 0.4001 0.4001 0.1939  8 Cu 2.60-2.65, 4 Pd 2.65-2.66
Cu 0.1997 0.1997 0.1014  5 Pd 2.59-2.68, 7 Cu 2.62-2.70
Pd 0.1970 0.1970 0.6081  10 Cu 2.58-2.69, 2 Pd 2.77
Cu 0.4017 0.4017 0.6954  7 Cu 2.60-2.70, 5 Pd 2.63-2.69
Cu 0.0000 0.0000 0.5000  4 Pd 2.58-2.63, 8 Cu 2.65
Pd 0.0000 0.0000 0.0000  12 Cu 2.62-2.66
Pd 0.8030 0.8030 0.3919  10 Cu 2.58-2.69, 2 Pd 2.77
Cu 0.5983 0.5983 0.3046  7 Cu 2.60-2.70, 5 Pd 2.63-2.69
Cu 0.5999 0.5999 0.8061  8 Cu 2.60-2.65, 4 Pd 2.65-2.66
Cu 0.8003 0.8003 0.8986  5 Pd 2.59-2.68, 7 Cu 2.62-2.70

Values from the calculation:
* E_form: -0.111 eV/atom

DFT (PBE) results for CuPd after structural relaxation.

abc: 3.9132 3.9132 3.9132
angles: 60.00 60.00 60.00
With the nearest neighbours (Å) after each atom.
Fractional coordinates of all 2 atoms:
Cu 0.0000 0.0000 0.0000  4 Pd 2.40
Pd 0.2500 0.2500 0.2500  4 Cu 2.40

Values from the calculation:
* E_form: 0.941 eV/atom

DFT (PBE) results for Cu3Pd after structural relaxation.

abc: 3.7079 3.7079 3.7079
angles: 90.00 90.00 90.00
With the nearest neighbours (Å) after each atom.
Fractional coordinates of all 4 atoms:
Cu 0.5000 0.5000 0.0000  8 Cu 2.62, 4 Pd 2.62
Pd 0.0000 0.0000 0.0000  12 Cu 2.62
Cu 0.0000 0.5000 0.5000  8 Cu 2.62, 4 Pd 2.62
Cu 0.5000 0.0000 0.5000  8 Cu 2.62, 4 Pd 2.62

Values from the calculation:
* E_form: -0.105 eV/atom

Number 1: ρ 9.9 g cm⁻³. Number 2: ρ 9.2 g cm⁻³. Number 3: ρ 9.1 g cm⁻³. Number 4: ρ 9.7 g cm⁻³. Number 5: ρ 9.1 g cm⁻³. Number 6: ρ 10.0 g cm⁻³. Number 7: ρ 10.7 g cm⁻³. Number 8: ρ 10.3 g cm⁻³. Number 9: ρ 10.7 g cm⁻³. Number 10: ρ 9.7 g cm⁻³. Number 11: ρ 6.7 g cm⁻³. Number 12: ρ 9.7 g cm⁻³.